No. 1
Material: HgIr2O
Method: DFT, PBE
State: relaxed

## Properties
- offset from the most stable computed form (meV per atom) = 0
- uncorrected formation energy (meV per atom) = 453

Structure (POSCAR):
```
HgIr2O
1.0
-2.3664 2.3664 6.5595
2.3664 -2.3664 6.5595
2.3664 2.3664 -6.5595
Hg Ir O
2 4 2
Direct
0.0000 0.0000 0.0000
0.7500 0.2500 0.5000
0.2939 0.1250 0.6689
0.3750 0.7061 0.8311
0.4561 0.6250 0.3311
0.8750 0.5439 0.1689
0.2500 0.7500 0.5000
0.5000 0.5000 0.0000
```

***

No. 2
Material: HgIrO4
Method: DFT, PBE
State: relaxed

## Properties
- offset from the most stable computed form (meV per atom) = 3
- uncorrected formation energy (meV per atom) = -390

Structure (POSCAR):
```
HgIrO4
1.0
5.0644 0.0000 0.0000
-0.0001 5.1802 0.0000
-2.5205 -0.9960 6.1967
Hg Ir O
2 2 8
Direct
0.2359 0.2494 0.9998
0.7641 0.7506 0.0002
0.0000 0.5000 0.5000
0.5000 0.0000 0.5000
0.0909 0.5397 0.8085
0.1915 0.8417 0.5555
0.2838 0.9591 0.1913
0.3634 0.3416 0.5548
0.6366 0.6584 0.4452
0.7162 0.0409 0.8087
0.8085 0.1583 0.4445
0.9091 0.4603 0.1915
```

***

No. 3
Material: HgPIrO2
Method: DFT, PBE
State: relaxed

## Properties
- offset from the most stable computed form (meV per atom) = 0
- uncorrected formation energy (meV per atom) = -158

Structure (POSCAR):
```
HgPIrO2
1.0
3.8061 0.0000 0.0000
0.0000 3.8061 0.0000
0.0000 0.0000 5.3417
Hg P Ir O
1 1 1 2
Direct
0.0000 0.0000 0.0000
0.5000 0.5000 0.0000
0.5000 0.5000 0.5000
0.0000 0.5000 0.5000
0.5000 0.0000 0.5000
```

***

No. 4
Material: HgPIrO2
Method: DFT, PBE
State: relaxed

## Properties
- offset from the most stable computed form (meV per atom) = 1451
- uncorrected formation energy (meV per atom) = 1292

Structure (POSCAR):
```
HgPIrO2
1.0
3.8556 0.0000 0.0000
0.0000 3.8556 0.0000
0.0000 0.0000 6.3094
Hg P Ir O
1 1 1 2
Direct
0.0000 0.0000 0.0000
0.0000 0.0000 0.5000
0.5000 0.5000 0.5000
0.0000 0.5000 0.0000
0.5000 0.0000 0.0000
```

***

Copy entry 4 word for word.
Material: HgPIrO2
Method: DFT, PBE
State: relaxed

## Properties
- offset from the most stable computed form (meV per atom) = 1451
- uncorrected formation energy (meV per atom) = 1292

Structure (POSCAR):
```
HgPIrO2
1.0
3.8556 0.0000 0.0000
0.0000 3.8556 0.0000
0.0000 0.0000 6.3094
Hg P Ir O
1 1 1 2
Direct
0.0000 0.0000 0.0000
0.0000 0.0000 0.5000
0.5000 0.5000 0.5000
0.0000 0.5000 0.0000
0.5000 0.0000 0.0000
```

***

> Among the records above, which one has the lowest uncorrected formation energy?

HgIrO4

***

Copy entry 1 word for word.
Material: HgIr2O
Method: DFT, PBE
State: relaxed

## Properties
- offset from the most stable computed form (meV per atom) = 0
- uncorrected formation energy (meV per atom) = 453

Structure (POSCAR):
```
HgIr2O
1.0
-2.3664 2.3664 6.5595
2.3664 -2.3664 6.5595
2.3664 2.3664 -6.5595
Hg Ir O
2 4 2
Direct
0.0000 0.0000 0.0000
0.7500 0.2500 0.5000
0.2939 0.1250 0.6689
0.3750 0.7061 0.8311
0.4561 0.6250 0.3311
0.8750 0.5439 0.1689
0.2500 0.7500 0.5000
0.5000 0.5000 0.0000
```